Record 1
K3MgSc2S6: optimized geometry, PBE.

```
K3MgSc2S6
1.0
-3.5286 -1.3101 -5.4587
-2.9273 -0.1220 5.9482
0.5186 7.6098 -0.8200
K Mg Sc S
3 1 2 6
direct
0.1651 0.8349 0.5000
0.8349 0.1651 0.5000
0.5000 0.5000 0.5000
0.0000 0.0000 0.0000
0.3332 0.6668 0.0000
0.6668 0.3332 0.0000
0.9356 0.5971 0.8068
0.7258 0.7258 0.1927
0.0644 0.4029 0.1932
0.5971 0.9356 0.8068
0.2742 0.2742 0.8073
0.4029 0.0644 0.1932
```

Calculated values
* space-group type: C2/m (12)
* uncorrected formation energy: -1485 meV per atom

***

Record 2
K2Mg2SeS2: optimized geometry, PBE.

```
K2Mg2SeS2
1.0
4.1191 0.0000 0.0000
2.0596 7.1889 -0.1195
2.0596 2.6208 6.5829
K Mg Se S
2 2 1 2
direct
0.5654 0.2248 0.6444
0.4346 0.7752 0.3556
0.1958 0.6817 0.9268
0.8042 0.3183 0.0732
0.0000 0.0000 0.0000
0.1884 0.3789 0.2444
0.8116 0.6211 0.7556
```

Calculated values
* space-group type: C2/m (12)
* uncorrected formation energy: -1290 meV per atom

***

Record 3
K2MgSi2S6: optimized geometry, PBE.

```
K2MgSi2S6
1.0
-3.4193 5.8045 1.5212
-6.9053 0.0673 -0.1005
-3.5632 0.0309 7.5500
K Mg Si S
2 1 2 6
direct
0.7818 0.7818 0.6546
0.2182 0.2182 0.3454
0.0000 0.0000 0.0000
0.4076 0.4076 0.7771
0.5924 0.5924 0.2229
0.7560 0.7560 0.2428
0.2452 0.7560 0.2428
0.7560 0.2452 0.2428
0.2440 0.7548 0.7572
0.7548 0.2440 0.7572
0.2440 0.2440 0.7572
```

Calculated values
* space-group type: R-3m (166)
* uncorrected formation energy: -866 meV per atom

***

Number 1: total DFT energy (no corrections) -5.011 eV per atom. Number 2: total DFT energy (no corrections) -3.737 eV per atom. Number 3: total DFT energy (no corrections) -4.448 eV per atom.